15
Lattice="-2.6305 2.6305 19.0559 2.6305 -2.6305 19.0559 2.6305 2.6305 -19.0559" Properties=species:S:1:pos:R:3 comment="Ba8Sb4H2O PBE relaxed" total_magnetization_mub_per_cell=0.000 energy_ev_per_atom=-4.0651 rho_kg_m3=5049 pbc="T T T"
Ba 2.6305 0.0000 0.0000
Ba 0.0000 0.0000 3.2315
Ba 2.6305 0.0000 9.5280
Ba 0.0000 0.0000 12.9810
Ba 0.0000 2.6305 0.0000
Ba 0.0000 0.0000 25.1309
Ba 0.0000 2.6305 9.5280
Ba 0.0000 0.0000 34.8803
Sb 0.0000 0.0000 6.8562
Sb 0.0000 0.0000 16.5034
Sb 0.0000 0.0000 21.6085
Sb 0.0000 0.0000 31.2557
H 0.0000 0.0000 10.3281
H 0.0000 0.0000 27.7838
O 0.0000 0.0000 0.0000